(1)
# Dy4Y3Ho | Alexandria via LeMat-Bulk | GGA-PBE | optimized geometry
# distance to the lowest polymorph of the same formula: 3.81 kcal/mol of atoms
# calculated total energy: -82.1 eV for the cell shown
# formation energy: 169 meV/atom
# crystal system: monoclinic
# M_tot: 0.000 μB/cell
# volume: 32.5 Å³/atom
# density of states at the Fermi level: 14.49 states/eV/f.u.
data_Dy4Y3Ho
_chemical_formula_sum 'Dy8 Y6 Ho2'
_cell_length_a 23.4191
_cell_length_b 3.4785
_cell_length_c 6.6557
_cell_angle_alpha 90.00
_cell_angle_beta 106.46
_cell_angle_gamma 90.00
_symmetry_space_group_name_H-M 'C 1 2/m 1'
_symmetry_Int_Tables_number 12
_symmetry_space_group_name_Hall '-C 2y'
loop_
_atom_site_label
_atom_site_fract_x
_atom_site_fract_y
_atom_site_fract_z
_atom_site_occupancy
Dy1 0.1243 0.0000 0.3681 1
Dy2 0.2395 0.5000 0.2423 1
Y1 0.0000 0.0000 0.5000 1
Y2 0.1250 0.0000 0.8818 1
Ho1 0.0000 0.5000 0.0000 1



(2)
# Pm5Ta2O12 | Alexandria via LeMat-Bulk | GGA-PBE | optimized geometry
# raw formation energy: -3275 meV/atom
# calculated total energy: -338.3 eV for the cell shown
# crystal system: monoclinic
# M_tot: 0.008 μB/cell
# volume: 14.8 Å³/atom
# density of states at the Fermi level: 2.62 states/eV/f.u.
data_Pm5Ta2O12
_chemical_formula_sum 'Pm10 Ta4 O24'
_cell_length_a 12.7656
_cell_length_b 6.0213
_cell_length_c 7.6558
_cell_angle_alpha 90.00
_cell_angle_beta 107.44
_cell_angle_gamma 90.00
_symmetry_space_group_name_H-M 'C 1 2/m 1'
_symmetry_Int_Tables_number 12
_symmetry_space_group_name_Hall '-C 2y'
loop_
_atom_site_label
_atom_site_fract_x
_atom_site_fract_y
_atom_site_fract_z
_atom_site_occupancy
Pm1 0.0000 0.0000 0.0000 1
Pm2 0.1925 0.5000 0.3288 1
Pm3 0.1964 0.5000 0.8615 1
Ta1 0.0000 0.2401 0.5000 1
O1 0.9995 0.0000 0.3115 1
O2 0.0011 0.5000 0.3147 1
O3 0.1550 0.2501 0.0764 1
O4 0.1616 0.2635 0.5813 1



(3)
# La2DyPuSb4 | Alexandria via LeMat-Bulk | GGA-PBE | optimized geometry
# raw formation energy: -1055 meV/atom
# calculated total energy: -53.7 eV for the cell shown
# crystal system: monoclinic
# M_tot: 4.988 μB/cell
# volume: 32.6 Å³/atom
# density of states at the Fermi level: 17.07 states/eV/f.u.
data_La2DyPuSb4
_chemical_formula_sum 'La2 Dy1 Pu1 Sb4'
_cell_length_a 7.8102
_cell_length_b 4.5287
_cell_length_c 7.8188
_cell_angle_alpha 90.00
_cell_angle_beta 109.51
_cell_angle_gamma 90.00
_symmetry_space_group_name_H-M 'P 1 2/m 1'
_symmetry_Int_Tables_number 10
_symmetry_space_group_name_Hall '-P 2y'
loop_
_atom_site_label
_atom_site_fract_x
_atom_site_fract_y
_atom_site_fract_z
_atom_site_occupancy
La1 0.0000 0.0000 0.0000 1
La2 0.0000 0.5000 0.5000 1
Dy1 0.5000 0.0000 0.5000 1
Pu1 0.5000 0.5000 0.0000 1
Sb1 0.2634 0.0000 0.7539 1
Sb2 0.2633 0.5000 0.2550 1



(4)
# LaY2InN | Alexandria via LeMat-Bulk | GGA-PBE | optimized geometry
# raw formation energy: -934 meV/atom
# calculated total energy: -33.6 eV for the cell shown
# crystal system: tetragonal
# M_tot: 0.000 μB/cell
# volume: 24.2 Å³/atom
# density of states at the Fermi level: 2.58 states/eV/f.u.
data_LaY2InN
_chemical_formula_sum 'La1 Y2 In1 N1'
_cell_length_a 4.8860
_cell_length_b 4.8860
_cell_length_c 5.0729
_cell_angle_alpha 90.00
_cell_angle_beta 90.00
_cell_angle_gamma 90.00
_symmetry_space_group_name_H-M 'P 4/m m m'
_symmetry_Int_Tables_number 123
_symmetry_space_group_name_Hall '-P 4 2'
loop_
_atom_site_label
_atom_site_fract_x
_atom_site_fract_y
_atom_site_fract_z
_atom_site_occupancy
La1 0.0000 0.0000 0.0000 1
Y1 0.0000 0.5000 0.5000 1
In1 0.5000 0.5000 0.0000 1
N1 0.0000 0.0000 0.5000 1



(5)
# Ba2Eu2ZnPtO8 | Alexandria via LeMat-Bulk | GGA-PBE | optimized geometry
# raw formation energy: -2097 meV/atom
# calculated total energy: -403.0 eV for the cell shown
# crystal system: orthorhombic
# M_tot: 47.826 μB/cell
# volume: 15.0 Å³/atom
# density of states at the Fermi level: 18.34 states/eV/f.u.
data_Ba2Eu2ZnPtO8
_chemical_formula_sum 'Ba8 Eu8 Zn4 Pt4 O32'
_cell_length_a 13.6153
_cell_length_b 5.8444
_cell_length_c 10.5259
_cell_angle_alpha 90.00
_cell_angle_beta 90.00
_cell_angle_gamma 90.00
_symmetry_space_group_name_H-M 'P n m a'
_symmetry_Int_Tables_number 62
_symmetry_space_group_name_Hall '-P 2ac 2n'
loop_
_atom_site_label
_atom_site_fract_x
_atom_site_fract_y
_atom_site_fract_z
_atom_site_occupancy
Ba1 0.0831 0.2500 0.1024 1
Ba2 0.2167 0.7500 0.3240 1
Eu1 0.0826 0.2500 0.4870 1
Eu2 0.1390 0.7500 0.6902 1
Zn1 0.0256 0.2500 0.7795 1
Pt1 0.1920 0.7500 0.9725 1
O1 0.0054 0.0058 0.6423 1
O2 0.0983 0.7500 0.1236 1
O3 0.1099 0.5060 0.8776 1
O4 0.2113 0.2500 0.3216 1
O5 0.2227 0.0103 0.5593 1



(6)
# BaScH2 | Alexandria via LeMat-Bulk | GGA-PBE | optimized geometry
# distance to the lowest polymorph of the same formula: 11.28 kcal/mol of atoms
# calculated total energy: -54.6 eV for the cell shown
# crystal system: cubic
# M_tot: 5.590 μB/cell
# volume: 18.1 Å³/atom
# density of states at the Fermi level: 4.52 states/eV/f.u.
data_BaScH2
_chemical_formula_sum 'Ba4 Sc4 H8'
_cell_length_a 6.6199
_cell_length_b 6.6199
_cell_length_c 6.6199
_cell_angle_alpha 90.00
_cell_angle_beta 90.00
_cell_angle_gamma 90.00
_symmetry_space_group_name_H-M 'F m -3 m'
_symmetry_Int_Tables_number 225
_symmetry_space_group_name_Hall '-F 4 2 3'
loop_
_atom_site_label
_atom_site_fract_x
_atom_site_fract_y
_atom_site_fract_z
_atom_site_occupancy
Ba1 0.0000 0.0000 0.0000 1
Sc1 0.0000 0.0000 0.5000 1
H1 0.2500 0.2500 0.2500 1